First-principles (PBE) data for a relaxed structure of MnAgPt2, as listed in Alexandria.

formation energy from the elements: -0.02 eV per atom
total magnetic moment: 4.066 μB per cell

```
MnAgPt2
1.0
1.415 0.817 9.115
-1.415 0.817 9.115
0.000 -1.634 9.115
Mn Ag Pt
1 1 2
direct
0.000 0.000 0.000 Mn
0.250 0.250 0.250 Ag
0.497 0.497 0.497 Pt
0.743 0.743 0.743 Pt
```

=====

First-principles (PBE) data for a relaxed structure of Mn2AgPt3, as listed in Alexandria.

formation energy from the elements: -0.23 eV per atom
total magnetic moment: 8.571 μB per cell

```
Mn2AgPt3
1.0
3.188 0.000 0.000
0.000 3.188 0.000
0.000 0.000 9.224
Mn Ag Pt
2 1 3
direct
0.000 0.000 0.165 Mn
0.000 0.000 0.835 Mn
0.000 0.000 0.500 Ag
0.500 0.500 0.000 Pt
0.500 0.500 0.312 Pt
0.500 0.500 0.688 Pt
```

=====

First-principles (PBE) data for a relaxed structure of MnAgPt, as listed in Alexandria.

formation energy from the elements: -0.10 eV per atom
total magnetic moment: 4.158 μB per cell
ΔE to the lowest computed polymorph: 0 meV/atom

```
MnAgPt
1.0
-1.451 1.880 4.401
1.451 -1.880 4.401
1.451 1.880 -4.401
Mn Ag Pt
1 1 1
direct
0.000 0.000 0.000 Mn
0.325 0.325 0.000 Ag
0.645 0.645 0.000 Pt
```

=====

First-principles (PBE) data for a relaxed structure of MnAgPt2, as listed in Alexandria.

formation energy from the elements: -0.03 eV per atom
total magnetic moment: 4.436 μB per cell

```
MnAgPt2
1.0
0.000 3.183 3.183
3.183 0.000 3.183
3.183 3.183 0.000
Mn Ag Pt
1 1 2
direct
0.000 0.000 0.000 Mn
0.750 0.750 0.750 Ag
0.250 0.250 0.250 Pt
0.500 0.500 0.500 Pt
```

=====

Number 1: total energy -6.05 eV per atom. Number 2: total energy -6.78 eV per atom. Number 3: total energy -6.12 eV per atom. Number 4: total energy -6.06 eV per atom.